(1)
VASP calculation (PBE) on CaLa2InCo after structural relaxation.

a = 5.3421 Å, b = 5.3421 Å, c = 5.2507 Å
α = 90.00°, β = 90.00°, γ = 90.00°
Space group P4/mmm (No. 123)
Inequivalent atoms, fractional coordinates:
Ca 0.0000 0.0000 0.0000 x1
La 0.0000 0.5000 0.5000 x2
In 0.5000 0.5000 0.0000 x1
Co 0.5000 0.5000 0.5000 x1

Summary:
- distance to the lowest polymorph of the same formula (meV/atom) = 17
- total magnetization (μB per cell) = 0.00
- calculated formation energy (eV per atom) = -0.20

***

(2)
VASP calculation (PBE) on LiRu4Pt after structural relaxation.

a = 7.1737 Å, b = 7.1737 Å, c = 7.1737 Å
α = 90.00°, β = 90.00°, γ = 90.00°
Space group F-43m (No. 216)
Inequivalent atoms, fractional coordinates:
Li 0.0000 0.0000 0.0000 x4
Ru 0.1249 0.1249 0.3751 x16
Pt 0.2500 0.2500 0.7500 x4

Summary:
- total magnetization (μB per cell) = 7.78
- calculated formation energy (eV per atom) = 0.49

***

(3)
VASP calculation (PBE) on NdSm3Pa2P6 after structural relaxation.

a = 7.0394 Å, b = 12.1928 Å, c = 7.0295 Å
α = 90.00°, β = 109.47°, γ = 90.00°
Space group C2/m (No. 12)
Inequivalent atoms, fractional coordinates:
Nd 0.0000 0.0000 0.0000 x2
Sm 0.0000 0.1642 0.5000 x4
Sm 0.0000 0.5000 0.5000 x2
Pa 0.0000 0.3330 0.0000 x4
P 0.2363 0.5000 0.2413 x4
P 0.2472 0.3278 0.7588 x8

Summary:
- total magnetization (μB per cell) = 0.00
- calculated formation energy (eV per atom) = -1.49

***

(4)
VASP calculation (PBE) on VSiNi3 after structural relaxation.

a = 4.1661 Å, b = 4.1661 Å, c = 4.1661 Å
α = 90.00°, β = 90.00°, γ = 90.00°
Space group Pm-3m (No. 221)
Inequivalent atoms, fractional coordinates:
V 0.0000 0.0000 0.0000 x1
Si 0.5000 0.5000 0.5000 x1
Ni 0.0000 0.5000 0.5000 x3

Summary:
- distance to the lowest polymorph of the same formula (meV/atom) = 0
- total magnetization (μB per cell) = 2.94
- raw formation energy (eV/atom) = 0.425

***

(5)
VASP calculation (PBE) on RbTm6Te8 after structural relaxation.

a = 11.9015 Å, b = 11.9015 Å, c = 14.2487 Å
α = 90.00°, β = 90.00°, γ = 120.00°
Space group R-3 (No. 148, hexagonal axes)
Inequivalent atoms, fractional coordinates:
Rb 0.0000 0.0000 0.0000 x3
Tm 0.0099 0.8239 0.3904 x18
Te 0.0000 0.0000 0.2484 x6
Te 0.0204 0.7164 0.5834 x18

Summary:
- total magnetization (μB per cell) = 0.02
- raw formation energy (eV/atom) = -1.217

***

(6)
VASP calculation (PBE) on SmLuCuAg after structural relaxation.

a = 7.1347 Å, b = 7.1347 Å, c = 7.1347 Å
α = 90.00°, β = 90.00°, γ = 90.00°
Space group F-43m (No. 216)
Inequivalent atoms, fractional coordinates:
Sm 0.0000 0.0000 0.0000 x4
Lu 0.0000 0.0000 0.5000 x4
Cu 0.2500 0.2500 0.2500 x4
Ag 0.2500 0.2500 0.7500 x4

Summary:
- total magnetization (μB per cell) = 0.00
- calculated formation energy (eV per atom) = -0.24

***

(7)
VASP calculation (PBE) on Ta2Te3 after structural relaxation.

a = 15.7135 Å, b = 3.4822 Å, c = 12.5780 Å
α = 90.00°, β = 124.96°, γ = 90.00°
Space group C2/m (No. 12)
Inequivalent atoms, fractional coordinates:
Ta 0.0835 0.0000 0.1458 x4
Ta 0.2233 0.5000 0.3884 x4
Te 0.0727 0.0000 0.3625 x4
Te 0.0957 0.5000 0.9708 x4
Te 0.1990 0.5000 0.7136 x4

Summary:
- total magnetization (μB per cell) = 0.00
- raw formation energy (eV/atom) = -0.361

***

(8)
VASP calculation (PBE) on FeHCI after structural relaxation.

a = 3.2925 Å, b = 4.2463 Å, c = 5.5695 Å
α = 90.00°, β = 90.11°, γ = 90.00°
Space group Pm (No. 6)
Inequivalent atoms, fractional coordinates:
Fe 0.0000 0.0000 0.0000 x1
H 0.5013 0.0000 0.3341 x1
C 0.5005 0.0000 0.1336 x1
I 0.9996 0.5000 0.7698 x1

Summary:
- distance to the lowest polymorph of the same formula (meV/atom) = 44
- total magnetization (μB per cell) = 0.00

***

(9)
VASP calculation (PBE) on ReBiOF2 after structural relaxation.

a = 4.5361 Å, b = 4.5361 Å, c = 3.7544 Å
α = 90.00°, β = 90.00°, γ = 90.00°
Space group P4/mmm (No. 123)
Inequivalent atoms, fractional coordinates:
Re 0.0000 0.0000 0.0000 x1
Bi 0.5000 0.5000 0.5000 x1
O 0.0000 0.0000 0.5000 x1
F 0.0000 0.5000 0.0000 x2

Summary:
- distance to the lowest polymorph of the same formula (meV/atom) = 0
- total magnetization (μB per cell) = 0.00
- raw formation energy (eV/atom) = -0.715

***

(10)
VASP calculation (PBE) on Be2GaAsAu after structural relaxation.

a = 4.1843 Å, b = 4.1843 Å, c = 5.3228 Å
α = 90.00°, β = 90.00°, γ = 90.00°
Space group P4/mmm (No. 123)
Inequivalent atoms, fractional coordinates:
Be 0.0000 0.5000 0.0000 x2
Ga 0.0000 0.0000 0.5000 x1
As 0.5000 0.5000 0.0000 x1
Au 0.5000 0.5000 0.5000 x1

Summary:
- total magnetization (μB per cell) = 0.00
- calculated formation energy (eV per atom) = 0.58

***

(11)
VASP calculation (PBE) on Tc2NiBr after structural relaxation.

a = 2.9359 Å, b = 4.6579 Å, c = 9.0158 Å
α = 90.00°, β = 90.00°, γ = 90.00°
Space group Cmmm (No. 65)
Inequivalent atoms, fractional coordinates:
Tc 0.0000 0.0000 0.2283 x4
Ni 0.0000 0.5000 0.0000 x2
Br 0.0000 0.5000 0.5000 x2

Summary:
- distance to the lowest polymorph of the same formula (meV/atom) = 538
- total magnetization (μB per cell) = 0.27
- raw formation energy (eV/atom) = 0.921

***

(12)
VASP calculation (PBE) on Tl6I2Br3Cl after structural relaxation.

a = 8.3557 Å, b = 14.5092 Å, c = 8.3513 Å
α = 90.00°, β = 109.66°, γ = 90.00°
Space group C2/m (No. 12)
Inequivalent atoms, fractional coordinates:
Tl 0.2272 0.0000 0.2462 x4
Tl 0.2442 0.1584 0.7577 x8
I 0.0000 0.3358 0.5000 x4
Br 0.0000 0.1747 0.0000 x4
Br 0.0000 0.5000 0.0000 x2
Cl 0.0000 0.0000 0.5000 x2

Summary:
- total magnetization (μB per cell) = 0.00
- raw formation energy (eV/atom) = -0.815

***

Calculated values (g cm⁻³) of mass density for the records, taken in order: 5.45 10.91 7.26 5.86 6.04 9.08 8.77 4.17 9.66 6.41 9.01 6.11.